Here is a geometry-optimized TiCdGaPd structure from Alexandria. Energies are from PBE-GGA.

Geometry as extended XYZ:
```
4
Lattice="4.5681 0.0000 0.0000 2.2841 3.9561 0.0000 2.2841 1.3187 3.7299" Properties=species:S:1:pos:R:3 pbc="T T T"
Ti 2.2841 1.3187 0.9325
Ga 0.0000 0.0000 0.0000
Pd 4.5681 2.6374 1.8649
Cd 6.8522 3.9561 2.7974
```

Computed properties:
For the final energy, the calculation gives -4.57 eV/atom.



Here is a geometry-optimized TlCd2GaPd structure from Alexandria. Energies are from PBE-GGA.

Geometry as extended XYZ:
```
5
Lattice="-3.7939 -0.9646 3.5326 -3.4989 -0.5457 -3.9068 0.9772 -4.6630 -0.2238" Properties=species:S:1:pos:R:3 pbc="T T T"
Tl -3.1578 -3.0867 -0.2990
Ga 0.4886 -2.3315 -0.1119
Pd 0.0000 0.0000 0.0000
Cd -1.7495 -0.2729 -1.9534
Cd -1.8970 -0.4823 1.7663
```

Computed properties:
For the final energy, the calculation gives -2.57 eV/atom.



Here is a geometry-optimized TlCd2Ga2Pd5 structure from Alexandria. Energies are from PBE-GGA.

Geometry as extended XYZ:
```
20
Lattice="3.7547 0.0000 0.0000 0.0000 9.6859 0.0000 0.0000 0.0000 9.6859" Properties=species:S:1:pos:R:3 pbc="T T T"
Tl 0.0000 0.0000 0.0000
Tl 0.0000 4.8430 4.8430
Cd 0.0000 6.5019 1.6589
Cd 0.0000 3.1840 8.0270
Cd 0.0000 1.6589 3.1840
Cd 0.0000 8.0270 6.5019
Ga 0.0000 1.2212 6.0642
Ga 0.0000 8.4647 3.6217
Ga 0.0000 6.0642 8.4647
Ga 0.0000 3.6217 1.2212
Pd 1.8773 1.9640 0.7993
Pd 1.8773 7.7219 8.8867
Pd 1.8773 0.7993 7.7219
Pd 1.8773 6.8070 4.0437
Pd 1.8773 8.8867 1.9640
Pd 1.8773 2.8790 5.6422
Pd 1.8773 5.6422 6.8070
Pd 1.8773 4.0437 2.8790
Pd 1.8773 4.8430 0.0000
Pd 1.8773 0.0000 4.8430
```

Computed properties:
For the final energy, the calculation gives -3.98 eV/atom.



What is the formula in the third record?
TlCd2Ga2Pd5



Which of these has the lowest final energy?
TiCdGaPd